The following is a PBE calculation of a relaxed structure of KSbS4, from the Alexandria database.

Properties
* magnetic moment: 3.97 Bohr magnetons per cell
* DFT total energy: -46.3 eV per cell
* symmetry: No. 15
* DOS(E_F): 1.1 states/eV/f.u.

a = 8.745 Å, b = 8.745 Å, c = 6.725 Å
α = 90.14°, β = 90.14°, γ = 126.78°
Sites, in units of the cell vectors:
K (0.090, 0.910, 0.750)
K (0.910, 0.090, 0.250)
Sb (0.448, 0.552, 0.250)
Sb (0.552, 0.448, 0.750)
S (0.088, 0.684, 0.194)
S (0.253, 0.339, 0.585)
S (0.316, 0.912, 0.306)
S (0.339, 0.253, 0.085)
S (0.661, 0.747, 0.915)
S (0.684, 0.088, 0.694)
S (0.747, 0.661, 0.415)
S (0.912, 0.316, 0.806)

---

The following is a PBE calculation of a relaxed structure of K8Sb2S, from the Alexandria database.

Properties
* distance to the lowest polymorph of the same formula: 46 meV per atom
* magnetic moment: 0.00 Bohr magnetons per cell
* symmetry: No. 12
* DOS(E_F): 9.9 states/eV/f.u.

a = 9.167 Å, b = 9.167 Å, c = 9.605 Å
α = 110.15°, β = 110.15°, γ = 38.01°
Sites, in units of the cell vectors:
K (0.020, 0.020, 0.328)
K (0.195, 0.195, 0.103)
K (0.323, 0.323, 0.499)
K (0.403, 0.403, 0.057)
K (0.597, 0.597, 0.943)
K (0.677, 0.677, 0.501)
K (0.805, 0.805, 0.897)
K (0.980, 0.980, 0.672)
Sb (0.191, 0.191, 0.717)
Sb (0.809, 0.809, 0.283)
S (0.000, 0.000, 0.000)

---

The following is a PBE calculation of a relaxed structure of K2SbS2, from the Alexandria database.

Properties
* distance to the lowest polymorph of the same formula: 251 meV per atom
* magnetic moment: 0.14 Bohr magnetons per cell
* symmetry: No. 139
* DOS(E_F): 4.3 states/eV/f.u.

a = 5.963 Å, b = 5.963 Å, c = 5.963 Å
α = 115.09°, β = 115.09°, γ = 98.74°
Sites, in units of the cell vectors:
K (0.250, 0.750, 0.500)
K (0.750, 0.250, 0.500)
Sb (0.000, 0.000, 0.000)
S (0.331, 0.331, 0.000)
S (0.669, 0.669, 0.000)

---

The following is a PBE calculation of a relaxed structure of KSb2S, from the Alexandria database.

Properties
* magnetic moment: 0.00 Bohr magnetons per cell
* DFT total energy: -27.1 eV per cell
* symmetry: No. 122
* DOS(E_F): 3.2 states/eV/f.u.

a = 7.084 Å, b = 7.084 Å, c = 7.084 Å
α = 100.07°, β = 100.07°, γ = 130.55°
Sites, in units of the cell vectors:
K (0.000, 0.000, 0.000)
K (0.750, 0.250, 0.500)
Sb (0.192, 0.125, 0.567)
Sb (0.375, 0.808, 0.933)
Sb (0.558, 0.625, 0.433)
Sb (0.875, 0.442, 0.067)
S (0.250, 0.750, 0.500)
S (0.500, 0.500, 0.000)

---

The following is a PBE calculation of a relaxed structure of K5SbS, from the Alexandria database.

Properties
* magnetic moment: 0.00 Bohr magnetons per cell
* DFT total energy: -36.1 eV per cell
* symmetry: No. 15
* DOS(E_F): 0.3 states/eV/f.u.

a = 6.939 Å, b = 6.939 Å, c = 11.875 Å
α = 92.89°, β = 92.89°, γ = 93.90°
Sites, in units of the cell vectors:
K (0.041, 0.633, 0.348)
K (0.127, 0.873, 0.750)
K (0.234, 0.400, 0.990)
K (0.367, 0.959, 0.152)
K (0.400, 0.234, 0.490)
K (0.600, 0.766, 0.510)
K (0.633, 0.041, 0.848)
K (0.766, 0.600, 0.010)
K (0.873, 0.127, 0.250)
K (0.959, 0.367, 0.652)
Sb (0.490, 0.510, 0.750)
Sb (0.510, 0.490, 0.250)
S (0.000, 0.000, 0.000)
S (0.000, 0.000, 0.500)

---

The following is a PBE calculation of a relaxed structure of K8Sb2S, from the Alexandria database.

Properties
* distance to the lowest polymorph of the same formula: 0 meV per atom
* magnetic moment: 0.00 Bohr magnetons per cell
* symmetry: No. 12
* DOS(E_F): 0.3 states/eV/f.u.

a = 10.664 Å, b = 10.664 Å, c = 7.846 Å
α = 110.57°, β = 110.57°, γ = 32.02°
Sites, in units of the cell vectors:
K (0.012, 0.012, 0.280)
K (0.220, 0.220, 0.789)
K (0.347, 0.347, 0.551)
K (0.403, 0.403, 0.087)
K (0.597, 0.597, 0.913)
K (0.653, 0.653, 0.449)
K (0.780, 0.780, 0.211)
K (0.988, 0.988, 0.720)
Sb (0.165, 0.165, 0.174)
Sb (0.835, 0.835, 0.826)
S (0.500, 0.500, 0.500)

---

The following is a PBE calculation of a relaxed structure of K2Sb2S5, from the Alexandria database.

Properties
* distance to the lowest polymorph of the same formula: 0 meV per atom
* magnetic moment: 0.00 Bohr magnetons per cell
* symmetry: No. 2

a = 5.653 Å, b = 7.191 Å, c = 7.684 Å
α = 69.91°, β = 68.92°, γ = 89.69°
Sites, in units of the cell vectors:
K (0.066, 0.321, 0.359)
K (0.934, 0.679, 0.641)
Sb (0.359, 0.176, 0.826)
Sb (0.641, 0.824, 0.174)
S (0.225, 0.802, 0.140)
S (0.428, 0.919, 0.657)
S (0.500, 0.500, 0.500)
S (0.572, 0.081, 0.343)
S (0.775, 0.198, 0.860)

---

The following is a PBE calculation of a relaxed structure of K3SbS, from the Alexandria database.

Properties
* distance to the lowest polymorph of the same formula: 243 meV per atom
* magnetic moment: 2.00 Bohr magnetons per cell
* symmetry: No. 221
* DOS(E_F): 3.6 states/eV/f.u.

a = 6.049 Å, b = 6.049 Å, c = 6.049 Å
α = 90.00°, β = 90.00°, γ = 90.00°
Sites, in units of the cell vectors:
K (0.000, 0.000, 0.500)
K (0.000, 0.500, 0.000)
K (0.500, 0.000, 0.000)
Sb (0.500, 0.500, 0.500)
S (0.000, 0.000, 0.000)

---

The following is a PBE calculation of a relaxed structure of KSb5S8, from the Alexandria database.

Properties
* distance to the lowest polymorph of the same formula: 0 meV per atom
* magnetic moment: 0.00 Bohr magnetons per cell
* symmetry: No. 7

a = 8.651 Å, b = 19.719 Å, c = 12.576 Å
α = 90.00°, β = 133.32°, γ = 90.00°
Sites, in units of the cell vectors:
K (0.000, 0.051, 0.000)
K (0.000, 0.949, 0.500)
K (0.061, 0.446, 0.264)
K (0.061, 0.554, 0.764)
Sb (0.080, 0.130, 0.738)
Sb (0.080, 0.870, 0.238)
Sb (0.279, 0.262, 0.260)
Sb (0.279, 0.738, 0.760)
Sb (0.284, 0.230, 0.565)
Sb (0.284, 0.770, 0.065)
Sb (0.435, 0.369, 0.061)
Sb (0.435, 0.631, 0.561)
Sb (0.498, 0.461, 0.718)
Sb (0.498, 0.539, 0.218)
Sb (0.512, 0.045, 0.469)
Sb (0.512, 0.955, 0.969)
Sb (0.680, 0.153, 0.302)
Sb (0.680, 0.847, 0.802)
Sb (0.704, 0.216, 0.012)
Sb (0.704, 0.784, 0.512)
Sb (0.867, 0.287, 0.817)
Sb (0.867, 0.713, 0.317)
Sb (0.933, 0.350, 0.538)
Sb (0.933, 0.650, 0.038)
S (0.053, 0.397, 0.851)
S (0.053, 0.603, 0.351)
S (0.060, 0.162, 0.223)
S (0.060, 0.838, 0.723)
S (0.079, 0.112, 0.544)
S (0.079, 0.888, 0.044)
S (0.101, 0.460, 0.554)
S (0.101, 0.540, 0.054)
S (0.262, 0.278, 0.737)
S (0.262, 0.722, 0.237)
S (0.302, 0.227, 0.085)
S (0.302, 0.773, 0.585)
S (0.441, 0.082, 0.960)
S (0.441, 0.918, 0.460)
S (0.473, 0.405, 0.265)
S (0.473, 0.595, 0.765)
S (0.510, 0.341, 0.606)
S (0.510, 0.659, 0.106)
S (0.523, 0.037, 0.279)
S (0.523, 0.963, 0.779)
S (0.530, 0.492, 0.051)
S (0.530, 0.508, 0.551)
S (0.646, 0.197, 0.470)
S (0.646, 0.803, 0.970)
S (0.656, 0.168, 0.812)
S (0.656, 0.832, 0.312)
S (0.873, 0.323, 0.012)
S (0.873, 0.677, 0.512)
S (0.893, 0.019, 0.691)
S (0.893, 0.981, 0.191)
S (0.917, 0.293, 0.354)
S (0.917, 0.707, 0.854)

---

The following is a PBE calculation of a relaxed structure of K2SbS2, from the Alexandria database.

Properties
* distance to the lowest polymorph of the same formula: 0 meV per atom
* magnetic moment: 0.00 Bohr magnetons per cell
* symmetry: No. 127
* DOS(E_F): 1.4 states/eV/f.u.

a = 7.695 Å, b = 7.695 Å, c = 4.578 Å
α = 90.00°, β = 90.00°, γ = 90.00°
Sites, in units of the cell vectors:
K (0.138, 0.362, 0.000)
K (0.362, 0.862, 0.000)
K (0.638, 0.138, 0.000)
K (0.862, 0.638, 0.000)
Sb (0.000, 0.000, 0.500)
Sb (0.500, 0.500, 0.500)
S (0.179, 0.679, 0.500)
S (0.321, 0.179, 0.500)
S (0.679, 0.821, 0.500)
S (0.821, 0.321, 0.500)

---

The following is a PBE calculation of a relaxed structure of KSb5S8, from the Alexandria database.

Properties
* distance to the lowest polymorph of the same formula: 37 meV per atom
* magnetic moment: 0.00 Bohr magnetons per cell
* symmetry: No. 8

a = 9.628 Å, b = 9.628 Å, c = 10.783 Å
α = 104.09°, β = 104.09°, γ = 23.52°
Sites, in units of the cell vectors:
K (0.000, 0.000, 0.000)
Sb (0.172, 0.172, 0.482)
Sb (0.202, 0.202, 0.877)
Sb (0.493, 0.493, 0.432)
Sb (0.806, 0.806, 0.212)
Sb (0.869, 0.869, 0.613)
S (0.069, 0.069, 0.593)
S (0.312, 0.312, 0.389)
S (0.323, 0.323, 0.037)
S (0.419, 0.419, 0.762)
S (0.597, 0.597, 0.323)
S (0.647, 0.647, 0.978)
S (0.744, 0.744, 0.659)
S (0.944, 0.944, 0.254)

---

The following is a PBE calculation of a relaxed structure of K2Sc2Sb2S, from the Alexandria database.

Properties
* magnetic moment: 0.00 Bohr magnetons per cell
* DFT total energy: -34.6 eV per cell
* symmetry: No. 139
* DOS(E_F): 1.2 states/eV/f.u.

a = 9.532 Å, b = 9.532 Å, c = 9.532 Å
α = 150.02°, β = 150.02°, γ = 42.92°
Sites, in units of the cell vectors:
K (0.181, 0.181, 0.000)
K (0.819, 0.819, 0.000)
Sc (0.000, 0.500, 0.500)
Sc (0.500, 0.000, 0.500)
Sb (0.392, 0.392, 0.000)
Sb (0.608, 0.608, 0.000)
S (0.000, 0.000, 0.000)